[1]
Compound: Th3GeTe
Source: Alexandria
Functional: PBE
Structure: relaxed

```
10
Lattice="7.357 0.003 0.002 3.681 6.368 0.002 3.681 2.124 7.115" Properties=species:S:1:pos:R:3 pbc="T T T"
Te 11.038 6.372 7.089
Ge 3.680 2.122 3.531
Th 8.638 6.316 1.961
Th 6.081 2.179 5.157
Th 8.515 2.110 1.961
Th 9.793 4.180 5.158
Th 4.926 4.314 1.960
Th 6.204 6.385 5.157
Ge 11.039 6.373 3.588
Te 3.680 2.123 0.029
```

- Size of the total moment: 0.00 μB per formula unit
- ΔE_f (raw): -496 meV per atom



[2]
Compound: CePrIr2
Source: Alexandria
Functional: PBE
Structure: relaxed

```
4
Lattice="4.089 0.000 0.000 2.044 3.541 0.000 2.044 1.180 6.737" Properties=species:S:1:pos:R:3 pbc="T T T"
Ce 0.000 0.000 0.000
Ir 6.133 3.541 5.197
Ir 2.044 1.180 1.540
Pr 4.089 2.361 3.368
```

- E above lowest polymorph: 0.557 eV/f.u.
- Size of the total moment: 0.00 μB per formula unit
- Calculated formation energy: -552 meV per atom



[3]
Compound: Sm2HoScS6
Source: Alexandria
Functional: PBE
Structure: relaxed

```
10
Lattice="6.896 0.000 0.000 3.448 5.972 0.000 3.448 1.991 6.073" Properties=species:S:1:pos:R:3 pbc="T T T"
S 7.791 2.170 4.636
S 5.548 6.177 1.552
Sm 6.897 3.982 2.616
S 4.880 4.113 4.636
S 5.668 1.716 1.553
Ho 10.344 5.973 3.336
Sc 3.448 1.990 0.252
S 8.017 5.662 4.636
S 9.473 4.051 1.553
Sm 3.448 1.991 5.687
```

- Size of the total moment: 0.00 μB per formula unit
- ΔE_f (raw): -1992 meV per atom



[4]
Compound: Y2Ge3Au5
Source: Alexandria
Functional: PBE
Structure: relaxed

```
20
Lattice="4.398 0.000 -0.749 0.000 7.173 0.000 -0.096 0.000 12.719" Properties=species:S:1:pos:R:3 pbc="T T T"
Au 2.630 6.669 2.158
Au 3.797 5.202 9.009
Au 4.079 0.455 10.665
Ge 4.106 3.260 10.823
Au 3.046 3.017 4.599
Y 2.279 1.831 0.095
Au 1.256 6.604 7.370
Au 0.222 4.042 1.305
Au 3.096 0.076 4.892
Y 2.023 5.418 11.874
Y 3.566 1.698 7.650
Ge 2.647 3.993 2.258
Au 1.206 3.662 7.077
Y 0.736 5.285 4.320
Ge 0.195 6.847 1.147
Ge 0.956 1.523 5.613
Au 0.504 1.615 2.960
Ge 1.654 0.407 9.712
Ge 3.345 5.110 6.356
Au 1.671 3.082 9.812
```

- Size of the total moment: 0.00 μB per formula unit
- Calculated formation energy: -523 meV per atom



[5]
Compound: Cd2ReSb
Source: Alexandria
Functional: PBE
Structure: relaxed

```
4
Lattice="5.178 0.004 0.000 1.517 4.951 0.000 -3.348 -2.478 3.077" Properties=species:S:1:pos:R:3 pbc="T T T"
Cd 0.759 2.475 1.538
Cd 0.000 0.000 0.000
Sb 2.589 0.002 1.538
Re 3.348 2.478 0.000
```

- Size of the total moment: 0.00 μB per formula unit
- ΔE_f (raw): 658 meV per atom



[6]
Compound: Y2Al4NiIr3
Source: Alexandria
Functional: PBE
Structure: relaxed

```
10
Lattice="4.128 0.000 0.000 0.000 4.128 0.000 0.000 0.000 10.435" Properties=species:S:1:pos:R:3 pbc="T T T"
Al 2.064 2.064 0.000
Ir 0.000 2.064 1.463
Y 0.000 2.064 7.753
Al 2.064 0.000 6.490
Al 0.000 0.000 0.000
Y 2.064 0.000 2.682
Ir 2.064 0.000 8.972
Al 0.000 2.064 3.945
Ir 0.000 0.000 5.218
Ni 2.064 2.064 5.218
```

- Size of the total moment: 0.00 μB per formula unit
- Calculated formation energy: -829 meV per atom



[7]
Compound: HoErPd4
Source: Alexandria
Functional: PBE
Structure: relaxed

```
6
Lattice="-5.255 -0.960 0.964 -2.858 -3.118 -3.403 -1.615 -4.944 1.556" Properties=species:S:1:pos:R:3 pbc="T T T"
Er -2.432 -2.255 -0.221
Pd -3.453 -5.158 -1.034
Pd -5.273 -3.167 -1.330
Pd -4.651 -4.080 1.149
Ho 0.000 0.000 0.000
Pd -6.080 -5.638 -0.552
```

- E above lowest polymorph: 0.000 eV/f.u.
- Size of the total moment: 0.00 μB per formula unit
- Calculated formation energy: -817 meV per atom



[8]
Compound: TlP
Source: Alexandria
Functional: PBE
Structure: relaxed

```
8
Lattice="-4.538 5.421 2.408 -5.871 -4.539 -0.843 0.491 -1.387 4.048" Properties=species:S:1:pos:R:3 pbc="T T T"
Tl -4.534 2.921 3.842
P -4.968 2.208 1.359
P -1.601 -0.537 2.301
Tl -3.316 0.281 0.499
P -8.317 0.032 3.311
Tl -5.384 -3.426 1.770
P -5.441 -1.326 0.206
Tl -7.092 0.601 1.066
```

- Size of the total moment: 0.00 μB per formula unit
- Calculated formation energy: 267 meV per atom



[9]
Compound: Mg2TlMo
Source: Alexandria
Functional: PBE
Structure: relaxed

```
4
Lattice="5.312 0.001 0.066 4.435 2.923 0.066 0.992 0.298 5.135" Properties=species:S:1:pos:R:3 pbc="T T T"
Mg 8.120 2.436 3.903
Mg 10.710 3.213 5.223
Tl 2.666 0.800 1.413
Mo 5.352 1.606 2.629
```

- E above lowest polymorph: 0.436 eV/f.u.
- Size of the total moment: 0.00 μB per formula unit
- Calculated formation energy: 391 meV per atom



[10]
Compound: Sm2Tl2Pd15
Source: Alexandria
Functional: PBE
Structure: relaxed

```
19
Lattice="7.080 0.044 0.039 0.962 7.014 0.039 0.962 0.844 6.964" Properties=species:S:1:pos:R:3 pbc="T T T"
Pd 0.481 3.507 0.019
Pd 5.160 2.231 0.039
Tl 8.051 7.066 6.296
Pd 0.481 0.422 3.482
Pd 3.601 6.173 2.468
Tl 0.952 0.836 0.745
Sm 5.805 5.095 4.540
Pd 0.962 5.078 2.212
Pd 6.588 2.770 2.468
Pd 5.402 1.729 4.573
Pd 3.601 3.161 5.849
Pd 2.881 0.593 4.791
Pd 0.962 2.780 4.791
Pd 5.402 4.741 1.192
Pd 2.415 5.132 4.573
Pd 2.881 4.827 0.039
Pd 5.160 0.295 2.212
Sm 3.198 2.807 2.501
Pd 3.540 0.022 0.019
```

- Size of the total moment: 0.00 μB per formula unit
- Calculated formation energy: -326 meV per atom



[11]
Compound: TiAg2Au
Source: Alexandria
Functional: PBE
Structure: relaxed

```
4
Lattice="2.884 -3.015 1.968 0.124 -0.413 4.593 -1.661 -3.800 2.020" Properties=species:S:1:pos:R:3 pbc="T T T"
Ag 1.010 -5.421 6.435
Ag 0.337 -1.807 2.145
Ti 0.000 0.000 0.000
Au 0.673 -3.614 4.290
```

- E above lowest polymorph: 0.000 eV/f.u.
- Size of the total moment: 0.00 μB per formula unit
- Calculated formation energy: 20 meV per atom



[12]
Compound: HoAgPbBr6
Source: Alexandria
Functional: PBE
Structure: relaxed

```
18
Lattice="7.238 0.000 0.000 -3.619 6.268 0.000 0.000 0.000 13.368" Properties=species:S:1:pos:R:3 pbc="T T T"
Br 5.914 2.170 1.727
Ho 0.000 4.179 10.026
Br 1.217 2.232 11.642
Pb 0.000 0.000 6.684
Br -2.295 4.098 11.642
Br 4.836 4.036 4.957
Ho 3.619 2.089 3.342
Ag 3.619 2.089 10.026
Br 2.542 0.062 1.727
Ag 0.000 4.179 3.342
Br 2.402 4.036 1.727
Br -1.077 6.207 8.411
Br 2.295 4.098 8.411
Pb 0.000 0.000 0.000
Br -1.217 2.232 8.411
Br 1.324 2.170 4.957
Br 4.696 0.062 4.957
Br 1.077 6.207 11.642
```

- Size of the total moment: 0.00 μB per formula unit
- ΔE_f (raw): -1186 meV per atom



[13]
Compound: Ba2NiGeAu
Source: Alexandria
Functional: PBE
Structure: relaxed

```
5
Lattice="6.016 0.000 0.000 0.000 6.016 0.000 0.000 0.000 4.440" Properties=species:S:1:pos:R:3 pbc="T T T"
Ge 0.000 0.000 2.220
Ba 3.008 0.000 0.000
Au 3.008 3.008 2.220
Ni 0.000 0.000 0.000
Ba 0.000 3.008 0.000
```

- Size of the total moment: 0.00 μB per formula unit
- Calculated formation energy: -393 meV per atom



[14]
Compound: Cs2ZnTeBr6
Source: Alexandria
Functional: PBE
Structure: relaxed

```
10
Lattice="-4.985 -6.245 0.311 2.523 -1.645 7.407 -5.323 -0.572 6.002" Properties=species:S:1:pos:R:3 pbc="T T T"
Br -0.666 -2.135 2.089
Te 0.000 0.000 0.000
Br -4.425 -6.272 8.746
Cs -5.769 -5.381 5.086
Cs -2.016 -3.081 8.634
Br -1.796 -5.755 5.630
Br -2.953 -5.000 2.231
Br -3.360 -2.190 4.974
Br 0.491 -2.890 5.487
Zn -1.231 -3.945 3.859
```

- Size of the total moment: 0.00 μB per formula unit
- ΔE_f (raw): -977 meV per atom



[15]
Compound: SrNiRh2
Source: Alexandria
Functional: PBE
Structure: relaxed

```
4
Lattice="5.672 0.006 0.007 2.821 4.921 -0.007 -3.610 -3.560 2.543" Properties=species:S:1:pos:R:3 pbc="T T T"
Sr 4.214 2.445 0.000
Rh 3.385 -0.411 1.275
Rh 0.059 0.034 0.000
Ni 1.471 1.763 1.268
```

- E above lowest polymorph: 1.521 eV/f.u.
- Size of the total moment: 1.38 μB per formula unit
- Calculated formation energy: 304 meV per atom



[16]
Compound: KRbIn2Bi2
Source: Alexandria
Functional: PBE
Structure: relaxed

```
6
Lattice="5.335 0.000 0.000 -2.667 4.620 0.000 0.000 0.000 10.184" Properties=species:S:1:pos:R:3 pbc="T T T"
Bi 2.667 1.540 7.496
Rb 0.000 0.000 0.000
In 0.000 3.080 7.421
K 0.000 0.000 5.092
Bi 0.000 3.080 2.688
In 2.667 1.540 2.763
```

- Size of the total moment: 0.00 μB per formula unit
- Calculated formation energy: -192 meV per atom



[17]
Compound: Tb8PtRh2
Source: Alexandria
Functional: PBE
Structure: relaxed

```
11
Lattice="5.998 0.079 -0.995 -1.948 6.709 -2.868 -0.129 -0.162 7.549" Properties=species:S:1:pos:R:3 pbc="T T T"
Rh 2.215 2.049 3.846
Tb 0.256 2.388 1.531
Tb 0.855 4.317 4.699
Tb 5.395 1.386 4.353
Tb 4.351 5.330 -1.625
Rh 1.529 4.643 -0.086
Tb 2.815 2.353 -0.939
Tb 3.292 0.553 1.790
Tb 3.481 4.269 2.208
Pt 0.961 0.027 -0.150
Tb 0.378 6.118 1.969
```

- Size of the total moment: 0.00 μB per formula unit
- Calculated formation energy: -492 meV per atom



[18]
Compound: YZrCdAg
Source: Alexandria
Functional: PBE
Structure: relaxed

```
4
Lattice="-2.429 -2.361 3.788 2.455 -3.410 2.857 1.154 1.089 4.827" Properties=species:S:1:pos:R:3 pbc="T T T"
Ag 0.000 0.000 0.000
Zr 0.295 -1.170 2.868
Y 0.885 -3.511 8.605
Cd 0.590 -2.341 5.736
```

- Size of the total moment: 1.21 μB per formula unit
- Calculated formation energy: -114 meV per atom



[19]
Compound: Na2PaNb2Se6
Source: Alexandria
Functional: PBE
Structure: relaxed

```
11
Lattice="-3.250 -1.272 5.445 3.372 -4.816 -2.696 5.899 3.451 3.297" Properties=species:S:1:pos:R:3 pbc="T T T"
Se 0.624 -3.028 4.527
Nb 3.888 -1.789 1.943
Se 3.022 1.661 4.437
Se 5.397 0.390 1.518
Nb 2.132 -0.849 4.102
Na -2.087 -1.895 4.015
Na 2.208 -4.193 -1.266
Pa 2.950 1.725 1.648
Se 1.537 -0.784 1.592
Se 2.999 -4.298 1.608
Se 4.483 -1.853 4.453
```

- Size of the total moment: 1.03 μB per formula unit
- ΔE_f (raw): -1075 meV per atom



[20]
Compound: KMg2Cl
Source: Alexandria
Functional: PBE
Structure: relaxed

```
4
Lattice="-2.821 -1.221 1.838 -1.433 -1.264 -3.030 4.255 -7.897 1.283" Properties=species:S:1:pos:R:3 pbc="T T T"
Cl 2.131 -3.956 0.643
Mg -1.039 -3.262 -0.268
K 0.838 -6.745 0.298
Mg 0.199 -0.369 0.060
```

- E above lowest polymorph: 0.280 eV/f.u.
- Size of the total moment: 0.00 μB per formula unit
- ΔE_f (raw): -551 meV per atom



| no. | N(E_F) (states/eV/f.u.) | raw total energy (eV per atom) |
| --- | --- | --- |
| 1 | 4.737 | -6.50 |
| 2 | 2.748 | -7.66 |
| 3 | 0.000 | -6.50 |
| 4 | 2.265 | -4.84 |
| 5 | 3.315 | -3.94 |
| 6 | 4.528 | -6.86 |
| 7 | 3.594 | -5.80 |
| 8 | 0.171 | -3.62 |
| 9 | 2.192 | -3.71 |
| 10 | 20.818 | -5.17 |
| 11 | 3.604 | -4.20 |
| 12 | 0.000 | -3.54 |
| 13 | 3.858 | -3.90 |
| 14 | 1.334 | -2.59 |
| 15 | 5.873 | -5.24 |
| 16 | 1.168 | -2.74 |
| 17 | 10.640 | -5.75 |
| 18 | 4.432 | -4.81 |
| 19 | 4.235 | -5.91 |
| 20 | 1.304 | -2.08 |